Computed, not measured: a relaxed ZrFePS2 crystal at the PBE level of DFT. Values from VASP.

The structure in Quantum ESPRESSO input format:
```
&SYSTEM
  ibrav = 0, nat = 5, ntyp = 4
/
ATOMIC_SPECIES
Fe 55.84 Fe.upf
S 32.06 S.upf
Zr 91.22 Zr.upf
P 30.97 P.upf
CELL_PARAMETERS angstrom
-2.253 -0.645 3.730
2.367 -3.628 0.803
2.962 2.421 2.208
ATOMIC_POSITIONS angstrom
Fe 0.000 0.000 0.000
S 1.184 -1.814 0.401
S -1.127 -0.322 1.865
Zr 1.538 -0.926 3.370
P 1.481 1.211 1.104
```

**V**: 17.1 Å³ per atom
**Formation energy without anion corrections**: -0.054 eV/atom
**DOS at the Fermi energy**: 5.42 states/eV/cell
**Space group**: P4/mmm (123)